1.
Computed, not measured: crystalline Tl2AgSb2Pb at its relaxed geometry at the GGA-PBE level of DFT. Values from VASP.

Computed properties:
Crystal system: orthorhombic
Energy, eV/cell: -38.658
Magnetization, Bohr magnetons per cell: 0.00
Uncorrected formation energy, meV per atom: 35

Structure (Quantum ESPRESSO input):
```
&SYSTEM
  ibrav = 0, nat = 12, ntyp = 4
/
ATOMIC_SPECIES
Tl 204.38 Tl.upf
Ag 107.87 Ag.upf
Sb 121.76 Sb.upf
Pb 207.20 Pb.upf
ATOMIC_POSITIONS crystal
Tl 0.183 0.215 0.398
Tl 0.317 0.715 0.032
Tl 0.683 0.285 0.968
Tl 0.817 0.785 0.602
Ag 0.250 0.750 0.500
Ag 0.750 0.250 0.500
Sb 0.120 0.708 0.828
Sb 0.380 0.208 0.589
Sb 0.620 0.792 0.411
Sb 0.880 0.292 0.172
Pb 0.250 0.250 0.000
Pb 0.750 0.750 0.000
CELL_PARAMETERS angstrom
-3.206 8.489 3.336
3.206 -8.489 3.336
3.206 8.489 -3.336
```

***

2.
Computed, not measured: crystalline Re2OsAu at its relaxed geometry at the GGA-PBE level of DFT. Values from VASP.

Computed properties:
Offset from the most stable computed form, eV per formula unit: 0.66
ΔH_f (0 K), eV/atom: 0.42
Crystal system: orthorhombic
Energy, eV/cell: -37.736
Magnetization, Bohr magnetons per cell: 0.00

Structure (Quantum ESPRESSO input):
```
&SYSTEM
  ibrav = 0, nat = 4, ntyp = 3
/
ATOMIC_SPECIES
Re 186.21 Re.upf
Os 190.23 Os.upf
Au 196.97 Au.upf
ATOMIC_POSITIONS crystal
Re 0.000 0.500 0.000
Re 0.500 0.000 0.000
Os 0.000 0.000 0.500
Au 0.500 0.500 0.500
CELL_PARAMETERS angstrom
2.740 -3.965 0.000
2.740 3.965 0.000
0.000 0.000 2.809
```

***

3.
Computed, not measured: crystalline PaZnPb2 at its relaxed geometry at the GGA-PBE level of DFT. Values from VASP.

Computed properties:
Offset from the most stable computed form, eV per formula unit: 0.00
ΔH_f (0 K), eV/atom: 0.00
Crystal system: tetragonal
Energy, eV/cell: -18.179
Magnetization, Bohr magnetons per cell: 0.00

Structure (Quantum ESPRESSO input):
```
&SYSTEM
  ibrav = 0, nat = 4, ntyp = 3
/
ATOMIC_SPECIES
Pa 231.04 Pa.upf
Zn 65.41 Zn.upf
Pb 207.20 Pb.upf
ATOMIC_POSITIONS crystal
Pa 0.000 0.000 0.000
Zn 0.500 0.500 0.000
Pb 0.000 0.500 0.500
Pb 0.500 0.000 0.500
CELL_PARAMETERS angstrom
4.715 0.000 0.000
0.000 4.715 0.000
0.000 0.000 4.515
```